{
  "formula": "K3ZnTe2",
  "functional": "PBE",
  "state": "relaxed",
  "lattice": [[-7.7218, 1.6188, -1.7494], [1.1217, -3.4048, -8.1020], [1.2608, -6.0061, 7.5427]],
  "species": ["K", "K", "K", "K", "K", "K", "Zn", "Zn", "Te", "Te", "Te", "Te"],
  "fractional_positions": [[0.5000, 0.2500, 0.0000], [0.5000, 0.7500, 0.0000], [0.7698, 0.0198, 0.5396], [0.2302, 0.4802, 0.4604], [0.2302, 0.9802, 0.4604], [0.7698, 0.5198, 0.5396], [0.0000, 0.5000, 0.0000], [0.0000, 0.0000, 0.0000], [0.6172, 0.3760, 0.7519], [0.8652, 0.1240, 0.2481], [0.1348, 0.8760, 0.7519], [0.3828, 0.6240, 0.2481]],
  "e_tot_ev_per_atom": -2.447,
  "raw_formation_energy_ev_per_atom": -0.639
}


{
  "formula": "CaPr3Ag4",
  "functional": "PBE",
  "state": "relaxed",
  "lattice": [[-0.6645, -4.9549, -1.8459], [4.4137, -2.6329, 5.4785], [-8.5153, -1.1990, 6.2840]],
  "species": ["Pr", "Pr", "Pr", "Pr", "Pr", "Pr", "Ca", "Ca", "Ag", "Ag", "Ag", "Ag", "Ag", "Ag", "Ag", "Ag"],
  "fractional_positions": [[0.0000, 0.0000, 0.0000], [0.0000, 0.0000, 0.5000], [0.5003, 0.0000, 0.7500], [0.4997, 0.0000, 0.2500], [0.5000, 0.5000, 0.7500], [0.5000, 0.5000, 0.2500], [0.0000, 0.5000, 0.0000], [0.0000, 0.5000, 0.5000], [0.5000, 0.7494, 0.0000], [0.5000, 0.7494, 0.5000], [0.5000, 0.2506, 0.0000], [0.5000, 0.2506, 0.5000], [0.0003, 0.7494, 0.7500], [0.9997, 0.7494, 0.2500], [0.9997, 0.2506, 0.2500], [0.0003, 0.2506, 0.7500]],
  "e_tot_ev_per_atom": -3.740
}


{
  "formula": "LaCeSn2",
  "functional": "PBE",
  "state": "relaxed",
  "lattice": [[3.5566, 0.0000, 0.0000], [0.0000, 3.5566, 0.0000], [0.0000, 0.0000, 9.1169]],
  "species": ["Sn", "Sn", "Ce", "La"],
  "fractional_positions": [[0.0000, 0.0000, 0.7555], [0.0000, 0.0000, 0.2445], [0.5000, 0.5000, 0.0000], [0.5000, 0.5000, 0.5000]],
  "e_tot_ev_per_atom": -5.379
}